## Ba12Hg3I5 (PBE)

Data for a relaxed Ba12Hg3I5 crystal.

Properties
The value obtained for the electronic total energy is -2.21 eV per atom. The calculation puts the total moment at 0.00 μB per cell.

The structure in extended XYZ format:
```
80
Lattice="-7.1589 14.1879 8.2294 -11.4746 -13.7158 0.6923 15.2542 -4.5659 8.1690" Properties=species:S:1:pos:R:3 pbc="T T T"
Ba 4.2468 -3.3078 4.3228
Ba -15.6715 -1.2076 7.9528
I 1.8898 -9.1408 4.4306
Ba 1.2350 -8.2758 11.2487
I 0.4012 6.1318 12.4794
I 7.6271 -2.2829 4.0845
Ba 2.3411 8.9194 12.6490
Ba 1.2972 3.7371 6.2459
Ba -2.2678 -4.9385 6.5862
Ba 12.2922 -2.8861 9.1378
I -1.6897 -2.0469 8.5453
Ba 2.6694 -3.0138 12.9788
Ba -6.8250 7.0722 10.2081
Ba -2.4185 -4.5951 10.8925
Ba -1.7071 7.1149 7.1193
Ba 3.4456 -11.1659 6.8826
Ba 6.0946 -5.4774 9.2844
I 4.0477 4.8110 8.1992
Ba 1.0755 -0.1096 15.1227
I -5.7373 -6.8579 0.3461
I -3.7805 -10.2256 4.6112
Ba 1.6754 3.6380 10.5508
I -1.3843 -4.5114 3.3305
Ba -5.2129 -2.3806 8.4487
Ba -0.7885 -10.6777 6.1623
Ba -4.6765 -7.8309 10.8447
I 0.2671 -5.4145 12.8105
I 3.4412 -4.4501 7.4226
Hg -1.6226 3.7263 8.3798
Ba -1.1115 0.8447 10.5045
I 6.5439 4.9313 13.4065
Ba -4.9690 3.2084 9.6496
Ba 1.8335 -1.7131 8.6420
I 0.0000 0.0000 0.0000
Ba -5.8394 8.2617 6.5770
Ba -7.6261 -0.7860 12.7679
Ba 2.4601 -12.3555 10.5137
Ba 0.8515 -2.0072 2.7892
Ba 6.3492 -0.8211 12.3995
Ba -4.2308 -2.0865 14.3014
Ba -8.8670 -11.9508 2.3105
I -9.9232 -9.0251 3.6842
Hg -6.0427 -4.3934 5.5609
Hg 9.5839 -5.6506 8.3496
Ba 1.5897 -7.3022 7.4411
Ba 4.4751 2.2875 13.9473
I -3.5794 7.0940 4.1147
Ba -12.1743 -1.8496 9.6643
Ba -5.0547 -7.7317 6.5398
Ba -4.4548 -3.9842 1.9680
I -9.3167 0.2361 4.4608
Hg -1.7567 -7.8201 8.7108
Ba -9.7285 -3.2727 4.6911
I -3.6465 1.3208 4.2802
Ba 4.3403 1.2845 8.0923
I -1.9950 0.4176 13.7602
I -6.8205 0.3564 9.6681
Ba -7.8544 -6.3813 3.1434
Hg -5.8756 -4.2141 11.8834
Hg 4.3860 -9.0205 9.6379
I -10.7010 -4.2753 7.7914
Hg 2.4963 0.1203 5.2073
Ba -2.5908 6.5839 10.9283
Hg -3.8848 9.5585 9.3295
I 7.3217 0.1816 9.2993
Ba -4.6143 4.1820 5.8420
Ba 8.7950 -2.2441 7.4264
Ba 7.3380 -8.8019 7.5601
Ba -5.7204 -13.0131 4.4417
Ba -9.4739 1.3836 7.8063
Ba 5.4877 7.8570 14.7801
Ba -6.0487 -1.0799 4.1119
Hg -12.9632 1.5568 8.7411
Ba -7.7196 -5.3782 8.9984
Ba -10.7173 4.7081 9.5305
Ba -0.9608 0.5013 6.1981
Ba -1.6722 -11.2087 9.9713
Hg -7.7654 4.9268 7.4528
Hg 2.6634 0.2996 11.5297
Hg 0.5055 -13.6522 7.7611
```



## LaFeCl2 (PBE)

Data for a relaxed LaFeCl2 crystal.

Properties
The calculation puts the total moment at 2.96 μB per cell. As for the energy above the most stable polymorph in this dataset: 0.2278 eV per atom.

The structure in extended XYZ format:
```
4
Lattice="4.5564 0.0000 0.0000 0.0000 4.5189 0.0000 0.0000 0.0000 4.0903" Properties=species:S:1:pos:R:3 pbc="T T T"
Fe 2.2782 0.0000 2.0452
Cl 0.0000 0.0000 0.0000
Cl 2.2782 2.2594 0.0000
La 0.0000 2.2594 2.0452
```



The highest total moment belongs to which entry? LaFeCl2